Entry 1:
# Sn2H2Au, optimized geometry, DFT PBE-GGA
# **Total magnetic moment**: 0.000 μB per formula unit
# **ΔE to the lowest computed polymorph**: 0.086 eV per atom
# **Raw total energy**: -3.34 eV per atom
data_Sn2H2Au
_chemical_formula_sum 'Sn4 H4 Au2'
_cell_length_a 3.572
_cell_length_b 3.572
_cell_length_c 12.546
_cell_angle_alpha 90.00
_cell_angle_beta 90.00
_cell_angle_gamma 90.00
_space_group_name_H-M_alt 'I 4/m m m'
_space_group_IT_number 139
_space_group_name_Hall '-I 4 2'
loop_
_atom_site_label
_atom_site_type_symbol
_atom_site_fract_x
_atom_site_fract_y
_atom_site_fract_z
_atom_site_occupancy
Sn1 Sn 0.000 0.000 0.138 1
H1 H 0.000 0.500 0.250 1
Au1 Au 0.000 0.000 0.500 1

=====

Entry 2:
# Sb2WAuI, optimized geometry, DFT PBE-GGA
# **Total magnetic moment**: 0.000 μB per formula unit
# **ΔE to the lowest computed polymorph**: 0.000 eV per atom
# **Raw total energy**: -4.37 eV per atom
data_Sb2WAuI
_chemical_formula_sum 'Sb2 W1 Au1 I1'
_cell_length_a 5.217
_cell_length_b 5.217
_cell_length_c 5.527
_cell_angle_alpha 90.00
_cell_angle_beta 90.00
_cell_angle_gamma 90.00
_space_group_name_H-M_alt 'P 4/m m m'
_space_group_IT_number 123
_space_group_name_Hall '-P 4 2'
loop_
_atom_site_label
_atom_site_type_symbol
_atom_site_fract_x
_atom_site_fract_y
_atom_site_fract_z
_atom_site_occupancy
Sb1 Sb 0.000 0.500 0.000 1
W1 W 0.000 0.000 0.000 1
Au1 Au 0.500 0.500 0.500 1
I1 I 0.000 0.000 0.500 1

=====

Entry 3:
# ZrBeZn, optimized geometry, DFT PBE-GGA
# **Total magnetic moment**: 0.000 μB per formula unit
# **ΔE to the lowest computed polymorph**: 0.205 eV per atom
# **E_form**: -0.0510 eV per atom
# **Raw total energy**: -4.57 eV per atom
data_ZrBeZn
_chemical_formula_sum 'Zr4 Be4 Zn4'
_cell_length_a 5.801
_cell_length_b 5.801
_cell_length_c 5.801
_cell_angle_alpha 90.00
_cell_angle_beta 90.00
_cell_angle_gamma 90.00
_space_group_name_H-M_alt 'F -4 3 m'
_space_group_IT_number 216
_space_group_name_Hall 'F -4 2 3'
loop_
_atom_site_label
_atom_site_type_symbol
_atom_site_fract_x
_atom_site_fract_y
_atom_site_fract_z
_atom_site_occupancy
Zr1 Zr 0.000 0.000 0.000 1
Be1 Be 0.250 0.250 0.750 1
Zn1 Zn 0.000 0.000 0.500 1

=====

Entry 4:
# Ac2SnHg5, optimized geometry, DFT PBE-GGA
# **Total magnetic moment**: 0.000 μB per formula unit
# **E_form**: -0.3952 eV per atom
# **Raw total energy**: -2.11 eV per atom
data_Ac2SnHg5
_chemical_formula_sum 'Ac4 Sn2 Hg10'
_cell_length_a 12.141
_cell_length_b 6.819
_cell_length_c 6.849
_cell_angle_alpha 90.00
_cell_angle_beta 124.19
_cell_angle_gamma 90.00
_space_group_name_H-M_alt 'C 1 m 1'
_space_group_IT_number 8
loop_
_space_group_symop_operation_xyz
'x,y,z'
'x,-y,z'
'x+1/2,y+1/2,z'
'x+1/2,-y+1/2,z'
loop_
_atom_site_label
_atom_site_type_symbol
_atom_site_fract_x
_atom_site_fract_y
_atom_site_fract_z
_atom_site_occupancy
Ac1 Ac 0.000 0.000 0.000 1
Ac2 Ac 0.010 0.500 0.458 1
Sn1 Sn 0.019 0.000 0.516 1
Hg1 Hg 0.246 0.253 0.972 1
Hg2 Hg 0.262 0.259 0.460 1
Hg3 Hg 0.476 0.000 0.926 1

=====

Entry 5:
# MnTc2P2, optimized geometry, DFT PBE-GGA
# **Total magnetic moment**: 3.532 μB per formula unit
# **E_form**: -0.2539 eV per atom
# **Raw total energy**: -8.40 eV per atom
data_MnTc2P2
_chemical_formula_sum 'Mn2 Tc4 P4'
_cell_length_a 6.779
_cell_length_b 6.779
_cell_length_c 2.915
_cell_angle_alpha 90.00
_cell_angle_beta 90.00
_cell_angle_gamma 90.00
_space_group_name_H-M_alt 'P 4/m b m'
_space_group_IT_number 127
_space_group_name_Hall '-P 4 2ab'
loop_
_atom_site_label
_atom_site_type_symbol
_atom_site_fract_x
_atom_site_fract_y
_atom_site_fract_z
_atom_site_occupancy
Mn1 Mn 0.000 0.000 0.000 1
Tc1 Tc 0.147 0.353 0.500 1
P1 P 0.151 0.651 0.000 1

=====

Entry 6:
# Li4Pr3Tl2, optimized geometry, DFT PBE-GGA
# **Total magnetic moment**: 0.000 μB per formula unit
# **E_form**: -0.1679 eV per atom
# **Raw total energy**: -3.14 eV per atom
data_Li4Pr3Tl2
_chemical_formula_sum 'Li4 Pr3 Tl2'
_cell_length_a 5.0821
_cell_length_b 5.0821
_cell_length_c 9.5266
_cell_angle_alpha 90.00
_cell_angle_beta 90.00
_cell_angle_gamma 120.00
_space_group_name_H-M_alt 'P -3 m 1'
_space_group_IT_number 164
_space_group_name_Hall '-P 3 2"'
loop_
_atom_site_label
_atom_site_type_symbol
_atom_site_fract_x
_atom_site_fract_y
_atom_site_fract_z
_atom_site_occupancy
Li1 Li 0.0000 0.0000 0.1700 1
Li2 Li 0.3333 0.6667 0.4113 1
Pr1 Pr 0.0000 0.0000 0.5000 1
Pr2 Pr 0.3333 0.6667 0.0984 1
Tl1 Tl 0.3333 0.6667 0.7150 1

=====

Entry 7:
# KTaW, optimized geometry, DFT PBE-GGA
# **Total magnetic moment**: 0.000 μB per formula unit
# **ΔE to the lowest computed polymorph**: 0.220 eV per atom
# **E_form**: 1.1283 eV per atom
# **Raw total energy**: -7.51 eV per atom
data_KTaW
_chemical_formula_sum 'K2 Ta2 W2'
_cell_length_a 2.751
_cell_length_b 2.751
_cell_length_c 17.567
_cell_angle_alpha 90.00
_cell_angle_beta 90.00
_cell_angle_gamma 90.00
_space_group_name_H-M_alt 'I 4 m m'
_space_group_IT_number 107
_space_group_name_Hall 'I 4 -2'
loop_
_atom_site_label
_atom_site_type_symbol
_atom_site_fract_x
_atom_site_fract_y
_atom_site_fract_z
_atom_site_occupancy
K1 K 0.000 0.000 0.000 1
Ta1 Ta 0.000 0.000 0.694 1
W1 W 0.000 0.000 0.323 1

=====

Entry 8:
# Tm3Pd13, optimized geometry, DFT PBE-GGA
# **Total magnetic moment**: 0.000 μB per formula unit
# **E_form**: -0.6054 eV per atom
# **Raw total energy**: -5.66 eV per atom
data_Tm3Pd13
_chemical_formula_sum 'Tm6 Pd26'
_cell_length_a 8.413
_cell_length_b 7.764
_cell_length_c 8.293
_cell_angle_alpha 90.00
_cell_angle_beta 90.00
_cell_angle_gamma 90.00
_space_group_name_H-M_alt 'A m m 2'
_space_group_IT_number 38
loop_
_space_group_symop_operation_xyz
'x,y,z'
'-x,-y,z'
'-x,y,z'
'x,-y,z'
'x,y+1/2,z+1/2'
'-x,-y+1/2,z+1/2'
'-x,y+1/2,z+1/2'
'x,-y+1/2,z+1/2'
loop_
_atom_site_label
_atom_site_type_symbol
_atom_site_fract_x
_atom_site_fract_y
_atom_site_fract_z
_atom_site_occupancy
Tm1 Tm 0.000 0.000 0.000 1
Tm2 Tm 0.270 0.000 0.309 1
Pd1 Pd 0.000 0.000 0.547 1
Pd2 Pd 0.000 0.229 0.277 1
Pd3 Pd 0.248 0.000 0.787 1
Pd4 Pd 0.253 0.244 0.047 1
Pd5 Pd 0.500 0.000 0.046 1
Pd6 Pd 0.500 0.000 0.548 1
Pd7 Pd 0.500 0.236 0.795 1

=====

raw total energy of number 3 (ZrBeZn)?
-4.57 eV per atom

=====

The highest raw total energy belongs to which entry?
Ac2SnHg5

=====

Look up the total magnetic moment of the eighth one.
0.000 μB per formula unit